Density functional theory data (GGA-PBE) for a geometry-optimized TmI structure.

Cell lengths 6.8022, 6.8022, 6.8022 Å; angles 90.00, 90.00, 90.00 degrees
With the nearest neighbours (Å) after each atom.
Space group F-43m (No. 216)
Asymmetric unit:
Tm 0.0000 0.0000 0.0000 (multiplicity 4)  4 I 2.95
I 0.2500 0.2500 0.2500 (multiplicity 4)  4 Tm 2.95

Density functional theory data (GGA-PBE) for a geometry-optimized Tm2I structure.

Cell lengths 9.3303, 9.3303, 9.3303 Å; angles 90.00, 90.00, 90.00 degrees
With the nearest neighbours (Å) after each atom.
Space group Fd-3m (No. 227, origin choice 2)
Asymmetric unit:
Tm 0.0000 0.0000 0.0000 (multiplicity 16)  6 Tm 3.30
I 0.1250 0.1250 0.6250 (multiplicity 8)  12 Tm 3.87, 4 I 4.04

polymorph energy (0 for the lowest one)	0.0000	eV/atom

| no. | total DFT energy (no corrections) (eV per atom) | volume (A^3/atom) | magnetic moment (μB per formula unit) |
| --- | --- | --- | --- |
| 1 | -2.95 | 39.3 | 0.07 |
| 2 | -3.32 | 33.8 | 0.03 |